No. 1
A geometry-optimized PaTlZn2O6 structure. Source: the Alexandria database, functional PBE.

Cell and atoms, written as CIF:
```
data_PaTlZn2O6
_chemical_formula_sum 'Pa2 Tl2 Zn4 O12'
_symmetry_space_group_name_H-M 'P 1'
_symmetry_Int_Tables_number 1
_symmetry_space_group_name_Hall 'P 1'
_cell_length_a 7.1436
_cell_length_b 7.1436
_cell_length_c 5.7758
_cell_angle_alpha 97.60
_cell_angle_beta 97.60
_cell_angle_gamma 87.42
loop_
_atom_site_label
_atom_site_fract_x
_atom_site_fract_y
_atom_site_fract_z
_atom_site_occupancy
Pa1 0.2138 0.7862 0.7500 1
Pa2 0.7862 0.2138 0.2500 1
Tl1 0.4063 0.5937 0.2500 1
Tl2 0.5937 0.4063 0.7500 1
Zn1 0.1045 0.2791 0.8139 1
Zn2 0.2791 0.1045 0.3139 1
Zn3 0.7209 0.8955 0.6861 1
Zn4 0.8955 0.7209 0.1861 1
O1 0.0568 0.2146 0.1250 1
O2 0.1234 0.6560 0.4006 1
O3 0.2146 0.0568 0.6250 1
O4 0.2939 0.4831 0.8711 1
O5 0.3440 0.8766 0.0994 1
O6 0.4831 0.2939 0.3711 1
O7 0.5169 0.7061 0.6289 1
O8 0.6560 0.1234 0.9006 1
O9 0.7061 0.5169 0.1289 1
O10 0.7854 0.9432 0.3750 1
O11 0.8766 0.3440 0.5994 1
O12 0.9432 0.7854 0.8750 1
```

Summary:
Total magnetic moment (μB/f.u.): 0.0
SG: C2/c, No. 15
Formation energy (no corrections) (eV/atom): -1.93

No. 2
A geometry-optimized SrSmAu structure. Source: the Alexandria database, functional PBE.

Cell and atoms, written as CIF:
```
data_SrSmAu
_chemical_formula_sum 'Sr1 Sm1 Au1'
_symmetry_space_group_name_H-M 'P 1'
_symmetry_Int_Tables_number 1
_symmetry_space_group_name_Hall 'P 1'
_cell_length_a 5.2132
_cell_length_b 5.2132
_cell_length_c 5.2132
_cell_angle_alpha 60.00
_cell_angle_beta 60.00
_cell_angle_gamma 60.00
loop_
_atom_site_label
_atom_site_fract_x
_atom_site_fract_y
_atom_site_fract_z
_atom_site_occupancy
Sr1 0.0000 0.0000 0.0000 1
Sm1 0.5000 0.5000 0.5000 1
Au1 0.7500 0.7500 0.7500 1
```

Summary:
Total magnetic moment (μB/f.u.): 0.0
Formation energy (eV/atom): -0.358
SG: F-43m, No. 216
D(E_F) (states/eV/cell): 3.63

No. 3
A geometry-optimized AlAsAu structure. Source: the Alexandria database, functional PBE.

Cell and atoms, written as CIF:
```
data_AlAsAu
_chemical_formula_sum 'Al2 As2 Au2'
_symmetry_space_group_name_H-M 'P 1'
_symmetry_Int_Tables_number 1
_symmetry_space_group_name_Hall 'P 1'
_cell_length_a 4.1957
_cell_length_b 4.2778
_cell_length_c 8.5675
_cell_angle_alpha 100.23
_cell_angle_beta 93.73
_cell_angle_gamma 115.64
loop_
_atom_site_label
_atom_site_fract_x
_atom_site_fract_y
_atom_site_fract_z
_atom_site_occupancy
Al1 0.0000 0.0000 0.0000 1
Al2 0.0644 0.8677 0.6986 1
As1 0.3606 0.4766 0.6151 1
As2 0.3997 0.7161 0.0962 1
Au1 0.3653 0.2461 0.2890 1
Au2 0.7601 0.9539 0.4430 1
```

Summary:
Total magnetic moment (μB/f.u.): 0.0
Formation energy (eV/atom): -0.007
SG: P1, No. 1
D(E_F) (states/eV/cell): 0.82

No. 4
A geometry-optimized Nd3SnI structure. Source: the Alexandria database, functional PBE.

Cell and atoms, written as CIF:
```
data_Nd3SnI
_chemical_formula_sum 'Nd12 Sn4 I4'
_symmetry_space_group_name_H-M 'P 1'
_symmetry_Int_Tables_number 1
_symmetry_space_group_name_Hall 'P 1'
_cell_length_a 9.2993
_cell_length_b 6.4760
_cell_length_c 11.0796
_cell_angle_alpha 90.00
_cell_angle_beta 106.89
_cell_angle_gamma 90.00
loop_
_atom_site_label
_atom_site_fract_x
_atom_site_fract_y
_atom_site_fract_z
_atom_site_occupancy
Nd1 0.0323 0.0972 0.2848 1
Nd2 0.0323 0.4028 0.7848 1
Nd3 0.1839 0.6454 0.5337 1
Nd4 0.1839 0.8546 0.0337 1
Nd5 0.4251 0.2183 0.8662 1
Nd6 0.4251 0.2817 0.3662 1
Nd7 0.5749 0.7183 0.6338 1
Nd8 0.5749 0.7817 0.1338 1
Nd9 0.8161 0.1454 0.9663 1
Nd10 0.8161 0.3546 0.4663 1
Nd11 0.9677 0.5972 0.2152 1
Nd12 0.9677 0.9028 0.7152 1
Sn1 0.3479 0.7117 0.8317 1
Sn2 0.3479 0.7883 0.3317 1
Sn3 0.6521 0.2117 0.6683 1
Sn4 0.6521 0.2883 0.1683 1
I1 0.1783 0.1642 0.5828 1
I2 0.1783 0.3358 0.0828 1
I3 0.8217 0.6642 0.9172 1
I4 0.8217 0.8358 0.4172 1
```

Summary:
Total magnetic moment (μB/f.u.): 0.0
SG: P2_1/c, No. 14
Formation energy (no corrections) (eV/atom): -0.58
D(E_F) (states/eV/cell): 19.64

No. 5
A geometry-optimized La4Tb2Pm2Mg structure. Source: the Alexandria database, functional PBE.

Cell and atoms, written as CIF:
```
data_La4Tb2Pm2Mg
_chemical_formula_sum 'La4 Tb2 Pm2 Mg1'
_symmetry_space_group_name_H-M 'P 1'
_symmetry_Int_Tables_number 1
_symmetry_space_group_name_Hall 'P 1'
_cell_length_a 5.9420
_cell_length_b 6.7723
_cell_length_c 8.8102
_cell_angle_alpha 81.02
_cell_angle_beta 71.43
_cell_angle_gamma 66.61
loop_
_atom_site_label
_atom_site_fract_x
_atom_site_fract_y
_atom_site_fract_z
_atom_site_occupancy
La1 0.2149 0.4841 0.1203 1
La2 0.2750 0.6952 0.6676 1
La3 0.7250 0.3048 0.3324 1
La4 0.7851 0.5159 0.8797 1
Tb1 0.1700 0.2257 0.5379 1
Tb2 0.8300 0.7743 0.4621 1
Pm1 0.4298 0.8894 0.2101 1
Pm2 0.5702 0.1106 0.7899 1
Mg1 0.0000 0.0000 0.0000 1
```

Summary:
Total magnetic moment (μB/f.u.): 0.0
Formation energy (eV/atom): 0.049
SG: P-1, No. 2
D(E_F) (states/eV/cell): 13.43

No. 6
A geometry-optimized BTeW2 structure. Source: the Alexandria database, functional PBE.

Cell and atoms, written as CIF:
```
data_BTeW2
_chemical_formula_sum 'B2 Te2 W4'
_symmetry_space_group_name_H-M 'P 1'
_symmetry_Int_Tables_number 1
_symmetry_space_group_name_Hall 'P 1'
_cell_length_a 7.3899
_cell_length_b 7.3899
_cell_length_c 7.3899
_cell_angle_alpha 141.22
_cell_angle_beta 141.22
_cell_angle_gamma 56.01
loop_
_atom_site_label
_atom_site_fract_x
_atom_site_fract_y
_atom_site_fract_z
_atom_site_occupancy
B1 0.0000 0.0000 0.0000 1
B2 0.7500 0.2500 0.5000 1
Te1 0.2500 0.7500 0.5000 1
Te2 0.5000 0.5000 0.0000 1
W1 0.0015 0.6250 0.8765 1
W2 0.3750 0.2515 0.3765 1
W3 0.7485 0.1250 0.1235 1
W4 0.8750 0.9985 0.6235 1
```

Summary:
Total magnetic moment (μB/f.u.): 0.0
SG: I-42d, No. 122
Formation energy (no corrections) (eV/atom): 0.94
D(E_F) (states/eV/cell): 9.85

No. 7
A geometry-optimized Pa4CrGa12 structure. Source: the Alexandria database, functional PBE.

Cell and atoms, written as CIF:
```
data_Pa4CrGa12
_chemical_formula_sum 'Pa4 Cr1 Ga12'
_symmetry_space_group_name_H-M 'P 1'
_symmetry_Int_Tables_number 1
_symmetry_space_group_name_Hall 'P 1'
_cell_length_a 7.4771
_cell_length_b 7.4771
_cell_length_c 7.4771
_cell_angle_alpha 109.47
_cell_angle_beta 109.47
_cell_angle_gamma 109.47
loop_
_atom_site_label
_atom_site_fract_x
_atom_site_fract_y
_atom_site_fract_z
_atom_site_occupancy
Pa1 0.0000 0.0000 0.5000 1
Pa2 0.0000 0.5000 0.0000 1
Pa3 0.5000 0.0000 0.0000 1
Pa4 0.5000 0.5000 0.5000 1
Cr1 0.0000 0.0000 0.0000 1
Ga1 0.0000 0.2917 0.2917 1
Ga2 0.0000 0.7083 0.7083 1
Ga3 0.2500 0.5000 0.7500 1
Ga4 0.2500 0.7500 0.5000 1
Ga5 0.2917 0.0000 0.2917 1
Ga6 0.2917 0.2917 0.0000 1
Ga7 0.5000 0.2500 0.7500 1
Ga8 0.5000 0.7500 0.2500 1
Ga9 0.7083 0.0000 0.7083 1
Ga10 0.7083 0.7083 0.0000 1
Ga11 0.7500 0.2500 0.5000 1
Ga12 0.7500 0.5000 0.2500 1
```

Summary:
Total magnetic moment (μB/f.u.): 0.9
Formation energy (eV/atom): -0.377
SG: Im-3m, No. 229
D(E_F) (states/eV/cell): 10.99

No. 8
A geometry-optimized Ta2TiVS structure. Source: the Alexandria database, functional PBE.

Cell and atoms, written as CIF:
```
data_Ta2TiVS
_chemical_formula_sum 'Ta2 Ti1 V1 S1'
_symmetry_space_group_name_H-M 'P 1'
_symmetry_Int_Tables_number 1
_symmetry_space_group_name_Hall 'P 1'
_cell_length_a 4.8516
_cell_length_b 4.8516
_cell_length_c 4.1644
_cell_angle_alpha 90.00
_cell_angle_beta 90.00
_cell_angle_gamma 90.00
loop_
_atom_site_label
_atom_site_fract_x
_atom_site_fract_y
_atom_site_fract_z
_atom_site_occupancy
Ta1 0.0000 0.5000 0.0000 1
Ta2 0.5000 0.0000 0.0000 1
Ti1 0.0000 0.0000 0.0000 1
V1 0.0000 0.0000 0.5000 1
S1 0.5000 0.5000 0.5000 1
```

Summary:
Total magnetic moment (μB/f.u.): 0.3
SG: P4/mmm, No. 123
Formation energy (no corrections) (eV/atom): 1.49
D(E_F) (states/eV/cell): 5.97

No. 9
A geometry-optimized Ti2Ga2Rh7 structure. Source: the Alexandria database, functional PBE.

Cell and atoms, written as CIF:
```
data_Ti2Ga2Rh7
_chemical_formula_sum 'Ti2 Ga2 Rh7'
_symmetry_space_group_name_H-M 'P 1'
_symmetry_Int_Tables_number 1
_symmetry_space_group_name_Hall 'P 1'
_cell_length_a 7.1055
_cell_length_b 7.1055
_cell_length_c 7.1055
_cell_angle_alpha 149.36
_cell_angle_beta 110.96
_cell_angle_gamma 77.40
loop_
_atom_site_label
_atom_site_fract_x
_atom_site_fract_y
_atom_site_fract_z
_atom_site_occupancy
Ti1 0.1713 0.1713 0.0000 1
Ti2 0.8287 0.8287 0.0000 1
Ga1 0.2753 0.0000 0.2753 1
Ga2 0.7247 0.0000 0.7247 1
Rh1 0.0000 0.5000 0.5000 1
Rh2 0.0942 0.3417 0.7525 1
Rh3 0.3240 0.8240 0.5000 1
Rh4 0.4107 0.6583 0.7525 1
Rh5 0.5893 0.3417 0.2475 1
Rh6 0.6760 0.1760 0.5000 1
Rh7 0.9058 0.6583 0.2475 1
```

Summary:
Total magnetic moment (μB/f.u.): 0.0
Formation energy (eV/atom): -0.447
SG: Immm, No. 71
D(E_F) (states/eV/cell): 11.16

No. 10
A geometry-optimized NaEuTlCu structure. Source: the Alexandria database, functional PBE.

Cell and atoms, written as CIF:
```
data_NaEuTlCu
_chemical_formula_sum 'Na1 Eu1 Tl1 Cu1'
_symmetry_space_group_name_H-M 'P 1'
_symmetry_Int_Tables_number 1
_symmetry_space_group_name_Hall 'P 1'
_cell_length_a 5.2913
_cell_length_b 5.2913
_cell_length_c 5.2913
_cell_angle_alpha 60.00
_cell_angle_beta 60.00
_cell_angle_gamma 60.00
loop_
_atom_site_label
_atom_site_fract_x
_atom_site_fract_y
_atom_site_fract_z
_atom_site_occupancy
Na1 0.0000 0.0000 0.0000 1
Eu1 0.5000 0.5000 0.5000 1
Tl1 0.2500 0.2500 0.2500 1
Cu1 0.7500 0.7500 0.7500 1
```

Summary:
Total magnetic moment (μB/f.u.): 7.4
Formation energy (eV/atom): 0.011
SG: F-43m, No. 216
D(E_F) (states/eV/cell): 9.13

No. 11
A geometry-optimized CaCu2Au structure. Source: the Alexandria database, functional PBE.

Cell and atoms, written as CIF:
```
data_CaCu2Au
_chemical_formula_sum 'Ca2 Cu4 Au2'
_symmetry_space_group_name_H-M 'P 1'
_symmetry_Int_Tables_number 1
_symmetry_space_group_name_Hall 'P 1'
_cell_length_a 9.5770
_cell_length_b 9.5770
_cell_length_c 9.5770
_cell_angle_alpha 152.93
_cell_angle_beta 152.93
_cell_angle_gamma 38.65
loop_
_atom_site_label
_atom_site_fract_x
_atom_site_fract_y
_atom_site_fract_z
_atom_site_occupancy
Ca1 0.0000 0.0000 0.0000 1
Ca2 0.7500 0.2500 0.5000 1
Cu1 0.3142 0.6250 0.1892 1
Cu2 0.3750 0.5642 0.6892 1
Cu3 0.4358 0.1250 0.8108 1
Cu4 0.8750 0.6858 0.3108 1
Au1 0.2500 0.7500 0.5000 1
Au2 0.5000 0.5000 0.0000 1
```

Summary:
Total magnetic moment (μB/f.u.): 0.0
Formation energy (eV/atom): -0.099
SG: I-42d, No. 122
D(E_F) (states/eV/cell): 3.46

No. 12
A geometry-optimized Sc2OsBr structure. Source: the Alexandria database, functional PBE.

Cell and atoms, written as CIF:
```
data_Sc2OsBr
_chemical_formula_sum 'Sc2 Os1 Br1'
_symmetry_space_group_name_H-M 'P 1'
_symmetry_Int_Tables_number 1
_symmetry_space_group_name_Hall 'P 1'
_cell_length_a 3.2627
_cell_length_b 4.5445
_cell_length_c 5.4202
_cell_angle_alpha 90.00
_cell_angle_beta 107.38
_cell_angle_gamma 90.00
loop_
_atom_site_label
_atom_site_fract_x
_atom_site_fract_y
_atom_site_fract_z
_atom_site_occupancy
Sc1 0.0000 0.0000 0.0000 1
Sc2 0.2824 0.5000 0.5656 1
Os1 0.7531 0.0000 0.5066 1
Br1 0.5492 0.5000 0.0984 1
```

Summary:
Total magnetic moment (μB/f.u.): 0.0
SG: Pm, No. 6
Formation energy (no corrections) (eV/atom): -0.38
D(E_F) (states/eV/cell): 2.03